# 1
TlRe2Ru | meta-GGA SCAN | PBEsol geometry

```
4
Lattice="-1.880 -0.812 2.012 0.228 -3.517 -3.254 3.746 -1.284 2.981" Properties=species:S:1:pos:R:3 pbc="T T T"
Re 1.912 -5.442 1.639
Re 2.538 -2.919 1.193
Ru 0.977 -1.180 2.484
Tl -0.306 -2.733 0.660
```

Properties
Distance to the lowest polymorph of the same formula, eV per atom: 0.203
Total energy, eV/atom: -61.65
Calculated volume, Å³/cell: 63.9
Energy relative to the elements, kJ/mol of atoms: 66.9
Symmetry: No. 8

=====

# 2
TlReRu | meta-GGA SCAN | PBEsol geometry

```
3
Lattice="-0.662 -1.436 2.409 1.139 -2.399 -1.117 5.054 3.355 1.664" Properties=species:S:1:pos:R:3 pbc="T T T"
Re 0.199 0.054 0.087
Ru 1.824 -1.487 1.338
Tl 3.509 0.953 1.531
```

Properties
Total energy, eV/atom: -58.95
Calculated volume, Å³/cell: 49.4
Energy relative to the elements, kJ/mol of atoms: 46.4
Symmetry: No. 107

=====

# 3
TlReRu2 | meta-GGA SCAN | PBEsol geometry

```
4
Lattice="-2.788 1.117 -2.356 -2.594 -0.841 2.671 2.980 3.772 1.355" Properties=species:S:1:pos:R:3 pbc="T T T"
Re -1.153 1.535 2.092
Ru 0.000 0.000 0.000
Ru -1.249 2.514 -0.422
Tl -2.691 0.138 0.157
```

Properties
Distance to the lowest polymorph of the same formula, eV per atom: 0.405
Total energy, eV/atom: -52.56
Calculated volume, Å³/cell: 61.2
Energy relative to the elements, kJ/mol of atoms: 69.6
Symmetry: No. 119

=====

# 4
TlReRu2 | meta-GGA SCAN | PBEsol geometry

```
4
Lattice="-0.995 2.575 0.629 -2.051 -3.063 2.928 4.162 0.970 2.612" Properties=species:S:1:pos:R:3 pbc="T T T"
Re -0.497 1.287 0.314
Ru 1.455 1.128 4.055
Ru -0.339 -0.647 2.114
Tl 2.081 0.485 1.306
```

Properties
Distance to the lowest polymorph of the same formula, eV per atom: 0.306
Total energy, eV/atom: -52.66
Calculated volume, Å³/cell: 62.7
Energy relative to the elements, kJ/mol of atoms: 60.0
Symmetry: No. 12

=====

# 5
TlRe2Ru | meta-GGA SCAN | PBEsol geometry

```
4
Lattice="2.888 0.000 0.000 0.000 4.684 0.000 0.000 0.000 4.684" Properties=species:S:1:pos:R:3 pbc="T T T"
Re 0.000 0.000 2.342
Re 0.000 2.342 0.000
Ru 1.444 2.342 2.342
Tl 1.444 0.000 0.000
```

Properties
Distance to the lowest polymorph of the same formula, eV per atom: 0.692
Total energy, eV/atom: -61.16
Calculated volume, Å³/cell: 63.4
Energy relative to the elements, kJ/mol of atoms: 114.1
Symmetry: No. 123

=====

# 6
TlReRu2 | meta-GGA SCAN | PBEsol geometry

```
4
Lattice="-2.038 -1.963 -0.365 3.020 -2.676 -2.466 0.485 -1.342 4.508" Properties=species:S:1:pos:R:3 pbc="T T T"
Re -1.019 -0.982 -0.183
Ru 0.242 -0.671 2.254
Ru 1.510 -1.338 -1.233
Tl 0.733 -2.991 0.838
```

Properties
Distance to the lowest polymorph of the same formula, eV per atom: 0.394
Total energy, eV/atom: -52.57
Calculated volume, Å³/cell: 61.4
Energy relative to the elements, kJ/mol of atoms: 68.4
Symmetry: No. 65

=====

# 7
TlRe2Ru | meta-GGA SCAN | PBEsol geometry

```
4
Lattice="-1.967 -1.948 -0.671 0.839 0.090 -2.720 5.185 -5.720 1.409" Properties=species:S:1:pos:R:3 pbc="T T T"
Re 0.148 -0.164 0.040
Re 0.755 -2.384 -1.337
Ru 2.456 -2.710 0.668
Tl 3.290 -5.180 -0.648
```

Properties
Distance to the lowest polymorph of the same formula, eV per atom: 0.000
Total energy, eV/atom: -61.85
Calculated volume, Å³/cell: 63.7
Energy relative to the elements, kJ/mol of atoms: 47.3
Symmetry: No. 99

=====

# 8
V2ReRu | meta-GGA SCAN | PBEsol geometry

```
4
Lattice="-3.344 2.521 -0.564 -3.831 -1.257 1.264 -1.839 1.846 3.326" Properties=species:S:1:pos:R:3 pbc="T T T"
Re -4.507 1.555 2.013
V -2.253 0.777 1.006
V -6.760 2.332 3.019
Ru 0.000 0.000 0.000
```

Properties
Total energy, eV/atom: -35.66
Calculated volume, Å³/cell: 53.3
Energy relative to the elements, kJ/mol of atoms: -42.0
Symmetry: No. 225

=====

# 9
Re2RuW | meta-GGA SCAN | PBEsol geometry

```
4
Lattice="2.747 0.002 -0.006 1.375 2.378 -0.006 1.354 0.781 8.965" Properties=species:S:1:pos:R:3 pbc="T T T"
Re 1.361 0.785 8.906
Re 4.109 2.372 6.717
Ru 2.735 1.579 4.478
W 1.364 0.787 2.294
```

Properties
Distance to the lowest polymorph of the same formula, eV per atom: 0.075
Total energy, eV/atom: -61.54
Calculated volume, Å³/cell: 58.6
Energy relative to the elements, kJ/mol of atoms: 13.4
Symmetry: No. 8

=====

# 10
ReRuW2 | meta-GGA SCAN | PBEsol geometry

```
4
Lattice="3.077 0.000 0.000 0.000 4.358 0.000 0.000 0.000 4.452" Properties=species:S:1:pos:R:3 pbc="T T T"
Re 1.538 2.179 0.000
Ru 0.000 2.179 2.226
W 0.000 0.000 0.000
W 1.538 0.000 2.226
```

Properties
Distance to the lowest polymorph of the same formula, eV per atom: 0.052
Total energy, eV/atom: -61.11
Calculated volume, Å³/cell: 59.7
Energy relative to the elements, kJ/mol of atoms: 20.8
Symmetry: No. 47

=====

# 11
ReRuW2 | meta-GGA SCAN | PBEsol geometry

```
4
Lattice="-2.821 -2.747 -0.164 1.908 -1.784 -2.951 2.387 0.131 4.095" Properties=species:S:1:pos:R:3 pbc="T T T"
Re -0.457 -2.265 -1.557
Ru 0.000 0.000 0.000
W -0.445 -2.440 1.187
W 1.919 -1.959 -0.207
```

Properties
Distance to the lowest polymorph of the same formula, eV per atom: 0.000
Total energy, eV/atom: -61.16
Calculated volume, Å³/cell: 59.6
Energy relative to the elements, kJ/mol of atoms: 15.8
Symmetry: No. 139

=====

# 12
Re2RuW | meta-GGA SCAN | PBEsol geometry

```
4
Lattice="2.738 0.000 0.000 -1.369 4.553 -0.001 0.000 -0.799 4.683" Properties=species:S:1:pos:R:3 pbc="T T T"
Re 1.369 1.630 3.471
Re 0.000 2.125 1.211
Ru 0.000 -0.400 2.342
W 1.369 0.000 0.000
```

Properties
Distance to the lowest polymorph of the same formula, eV per atom: 0.012
Total energy, eV/atom: -61.60
Calculated volume, Å³/cell: 58.4
Energy relative to the elements, kJ/mol of atoms: 7.3
Symmetry: No. 12

=====

# 13
Re2RuW | meta-GGA SCAN | PBEsol geometry

```
4
Lattice="-3.092 -2.052 -1.093 1.693 -0.740 -3.399 1.605 -3.218 1.500" Properties=species:S:1:pos:R:3 pbc="T T T"
Re 0.846 -0.370 -1.700
Re -1.546 -1.026 -0.547
Ru 0.103 -3.005 -1.496
W 0.803 -1.609 0.750
```

Properties
Distance to the lowest polymorph of the same formula, eV per atom: 0.000
Total energy, eV/atom: -61.61
Calculated volume, Å³/cell: 58.3
Energy relative to the elements, kJ/mol of atoms: 6.1
Symmetry: No. 123

=====

# 14
Re2RuW | meta-GGA SCAN | PBEsol geometry

```
4
Lattice="-1.747 1.795 -1.116 -0.517 -1.767 -2.033 -5.812 -3.075 4.151" Properties=species:S:1:pos:R:3 pbc="T T T"
Re -0.042 -0.022 0.030
Re -2.606 -0.765 -0.522
Ru -2.872 -1.520 2.052
W -5.462 -2.277 1.518
```

Properties
Distance to the lowest polymorph of the same formula, eV per atom: 0.036
Total energy, eV/atom: -61.58
Calculated volume, Å³/cell: 58.5
Energy relative to the elements, kJ/mol of atoms: 9.6
Symmetry: No. 99

=====

# 15
Re2RuW | meta-GGA SCAN | PBEsol geometry

```
4
Lattice="-1.932 1.777 -0.785 0.813 -0.747 -3.691 -3.754 -4.082 0.000" Properties=species:S:1:pos:R:3 pbc="T T T"
Re -2.859 -3.108 0.000
Re -0.896 -0.974 0.000
Ru -0.560 0.515 -2.238
W -2.437 -1.526 -2.238
```

Properties
Distance to the lowest polymorph of the same formula, eV per atom: 0.064
Total energy, eV/atom: -61.55
Calculated volume, Å³/cell: 58.5
Energy relative to the elements, kJ/mol of atoms: 12.3
Symmetry: No. 47

=====

# 16
Re2RuW | meta-GGA SCAN | PBEsol geometry

```
4
Lattice="2.735 0.000 0.000 1.367 2.368 0.000 1.367 0.789 9.059" Properties=species:S:1:pos:R:3 pbc="T T T"
Re 1.367 0.789 2.343
Re 4.102 2.368 6.716
Ru 2.735 1.579 4.529
W 0.000 0.000 0.000
```

Properties
Distance to the lowest polymorph of the same formula, eV per atom: 0.118
Total energy, eV/atom: -61.50
Calculated volume, Å³/cell: 58.7
Energy relative to the elements, kJ/mol of atoms: 17.6
Symmetry: No. 166

=====

# 17
Re2RuW | meta-GGA SCAN | PBEsol geometry

```
4
Lattice="3.880 0.000 0.000 0.000 3.880 0.000 -1.940 -1.940 3.875" Properties=species:S:1:pos:R:3 pbc="T T T"
Re 0.000 0.000 0.000
Re 1.940 0.000 1.938
Ru 1.940 1.940 0.000
W 0.000 1.940 1.938
```

Properties
Distance to the lowest polymorph of the same formula, eV per atom: 0.015
Total energy, eV/atom: -61.60
Calculated volume, Å³/cell: 58.3
Energy relative to the elements, kJ/mol of atoms: 7.6
Symmetry: No. 119

=====

# 18
Re2RuW | meta-GGA SCAN | PBEsol geometry

```
4
Lattice="2.725 0.000 0.000 0.000 2.725 0.000 0.000 0.000 7.884" Properties=species:S:1:pos:R:3 pbc="T T T"
Re 0.000 0.000 6.005
Re 0.000 0.000 1.879
Ru 1.362 1.362 0.000
W 1.362 1.362 3.942
```

Properties
Distance to the lowest polymorph of the same formula, eV per atom: 0.073
Total energy, eV/atom: -61.54
Calculated volume, Å³/cell: 58.5
Energy relative to the elements, kJ/mol of atoms: 13.2
Symmetry: No. 123

=====

# 19
YReRu | meta-GGA SCAN | PBEsol geometry

```
3
Lattice="-2.072 -2.637 2.321 4.018 -0.466 -0.526 0.744 2.483 3.486" Properties=species:S:1:pos:R:3 pbc="T T T"
Re 0.640 2.134 2.996
Ru 0.558 0.089 4.183
Y 2.236 -0.361 1.587
```

Properties
Distance to the lowest polymorph of the same formula, eV per atom: 0.000
Total energy, eV/atom: -44.65
Calculated volume, Å³/cell: 62.6
Energy relative to the elements, kJ/mol of atoms: -5.4
Symmetry: No. 156

=====

# 20
YReRu | meta-GGA SCAN | PBEsol geometry

```
3
Lattice="4.375 0.000 0.000 2.187 3.789 0.000 2.187 1.263 3.572" Properties=species:S:1:pos:R:3 pbc="T T T"
Re 6.562 3.789 2.679
Ru 0.000 0.000 0.000
Y 4.375 2.526 1.786
```

Properties
Distance to the lowest polymorph of the same formula, eV per atom: 0.590
Total energy, eV/atom: -44.06
Calculated volume, Å³/cell: 59.2
Energy relative to the elements, kJ/mol of atoms: 51.4
Symmetry: No. 216